Run P
## Li2MgHPb (GGA-PBE)

Data for crystalline Li2MgHPb at its relaxed geometry. Values from VASP.

Cell and atoms, written as Quantum ESPRESSO input:
```
&SYSTEM
  ibrav = 0, nat = 5, ntyp = 4
/
ATOMIC_SPECIES
Pb 207.20 Pb.upf
H 1.01 H.upf
Mg 24.30 Mg.upf
Li 6.94 Li.upf
CELL_PARAMETERS angstrom
-1.5570 3.2582 2.3853
1.2280 -2.0534 3.6063
3.8536 1.9778 -0.1861
ATOMIC_POSITIONS angstrom
Pb 1.7623 1.5913 2.9028
H 0.0000 0.0000 0.0000
Mg 1.9268 0.9889 -0.0930
Li 0.6140 -1.0267 1.8031
Li -0.7785 1.6291 1.1927
```

## Properties
As for the crystal system: tetragonal. Its space group is P4/mmm. For the total magnetic moment, the calculation gives 0.00 μB per formula unit.

---

Run Q
## Li2MgHPb (GGA-PBE)

Data for crystalline Li2MgHPb at its relaxed geometry. Values from VASP.

Cell and atoms, written as Quantum ESPRESSO input:
```
&SYSTEM
  ibrav = 0, nat = 5, ntyp = 4
/
ATOMIC_SPECIES
Pb 207.20 Pb.upf
H 1.01 H.upf
Mg 24.30 Mg.upf
Li 6.94 Li.upf
CELL_PARAMETERS angstrom
-0.2520 3.6685 -2.3705
-1.4346 -2.3122 -3.4258
-4.3826 0.6162 1.4194
ATOMIC_POSITIONS angstrom
Pb -2.1913 0.3081 0.7097
H 0.0000 0.0000 0.0000
Mg -3.0346 0.9862 -2.1885
Li -0.7173 -1.1561 -1.7129
Li -0.1260 1.8343 -1.1852
```

## Properties
As for the crystal system: tetragonal. Its space group is P4/mmm. For the total magnetic moment, the calculation gives 0.00 μB per formula unit.

---

Which of them is the most stable, and which is the least stable? run P and run Q, in that order.

---

Run P
## LiMg2HPd (GGA-PBE)

Data for crystalline LiMg2HPd at its relaxed geometry. Values from VASP.

Cell and atoms, written as Quantum ESPRESSO input:
```
&SYSTEM
  ibrav = 0, nat = 5, ntyp = 4
/
ATOMIC_SPECIES
H 1.01 H.upf
Mg 24.30 Mg.upf
Pd 106.42 Pd.upf
Li 6.94 Li.upf
CELL_PARAMETERS angstrom
-4.0974 1.7805 0.3139
-1.0128 -1.8035 -2.9900
-1.3086 -3.4571 2.5285
ATOMIC_POSITIONS angstrom
H 0.0000 0.0000 0.0000
Mg -0.6543 -1.7286 1.2642
Mg -2.0487 0.8902 0.1569
Pd -0.5064 -0.9017 -1.4950
Li -3.2094 -1.7401 -0.0738
```

## Properties
As for the crystal system: tetragonal. Its space group is P4/mmm. For the total magnetic moment, the calculation gives 0.00 μB per formula unit.

---

Run Q
## LiMg2HPd (GGA-PBE)

Data for crystalline LiMg2HPd at its relaxed geometry. Values from VASP.

Cell and atoms, written as Quantum ESPRESSO input:
```
&SYSTEM
  ibrav = 0, nat = 5, ntyp = 4
/
ATOMIC_SPECIES
H 1.01 H.upf
Mg 24.30 Mg.upf
Pd 106.42 Pd.upf
Li 6.94 Li.upf
CELL_PARAMETERS angstrom
4.9301 0.0000 0.0000
0.0000 4.0718 0.0000
0.0000 0.0000 4.9301
ATOMIC_POSITIONS angstrom
H 2.4651 2.0359 2.4651
Mg 0.0000 0.0000 2.4651
Mg 2.4651 0.0000 0.0000
Pd 0.0000 2.0359 0.0000
Li 0.0000 0.0000 0.0000
```

## Properties
As for the crystal system: tetragonal. Its space group is P4/mmm. For the total magnetic moment, the calculation gives 0.00 μB per formula unit.

---

Which of them is the most stable, and which is the least stable? run P and run Q, in that order.

---

Run P
## LiMgHPd2 (GGA-PBE)

Data for crystalline LiMgHPd2 at its relaxed geometry. Values from VASP.

Cell and atoms, written as Quantum ESPRESSO input:
```
&SYSTEM
  ibrav = 0, nat = 5, ntyp = 4
/
ATOMIC_SPECIES
H 1.01 H.upf
Mg 24.30 Mg.upf
Pd 106.42 Pd.upf
Li 6.94 Li.upf
CELL_PARAMETERS angstrom
-3.6188 -1.6196 0.7565
1.5292 -1.9204 3.2039
-0.8729 2.9790 2.2023
ATOMIC_POSITIONS angstrom
H 0.0000 0.0000 0.0000
Mg -1.4812 -0.2805 3.0813
Pd 0.7646 -0.9602 1.6019
Pd -1.8094 -0.8098 0.3782
Li -0.4364 1.4895 1.1011
```

## Properties
As for the crystal system: tetragonal. Its space group is P4/mmm. For the total magnetic moment, the calculation gives 0.00 μB per formula unit.

---

Run Q
## LiMgHPd2 (GGA-PBE)

Data for crystalline LiMgHPd2 at its relaxed geometry. Values from VASP.

Cell and atoms, written as Quantum ESPRESSO input:
```
&SYSTEM
  ibrav = 0, nat = 5, ntyp = 4
/
ATOMIC_SPECIES
H 1.01 H.upf
Mg 24.30 Mg.upf
Pd 106.42 Pd.upf
Li 6.94 Li.upf
CELL_PARAMETERS angstrom
4.0115 0.0000 0.0000
0.0000 4.0115 0.0000
0.0000 0.0000 3.9716
ATOMIC_POSITIONS angstrom
H 0.0000 0.0000 0.0000
Mg 0.0000 0.0000 1.9858
Pd 0.0000 2.0058 0.0000
Pd 2.0058 0.0000 0.0000
Li 2.0058 2.0058 1.9858
```

## Properties
As for the crystal system: tetragonal. Its space group is P4/mmm. For the total magnetic moment, the calculation gives 0.00 μB per formula unit.

---

Which of them is the most stable, and which is the least stable? run P and run Q, in that order.

---

Run P
## LiMg2HRh (GGA-PBE)

Data for crystalline LiMg2HRh at its relaxed geometry. Values from VASP.

Cell and atoms, written as Quantum ESPRESSO input:
```
&SYSTEM
  ibrav = 0, nat = 5, ntyp = 4
/
ATOMIC_SPECIES
H 1.01 H.upf
Mg 24.30 Mg.upf
Rh 102.91 Rh.upf
Li 6.94 Li.upf
CELL_PARAMETERS angstrom
-2.2629 -2.3021 -2.9631
3.6452 -0.5279 -2.3736
0.6941 -2.8784 1.7062
ATOMIC_POSITIONS angstrom
H 0.0000 0.0000 0.0000
Mg 1.8226 -0.2640 -1.1868
Mg -1.1315 -1.1510 -1.4815
Rh 1.0382 -2.8542 -1.8153
Li 0.3471 -1.4392 0.8531
```

## Properties
As for the crystal system: tetragonal. Its space group is P4/mmm. For the total magnetic moment, the calculation gives 0.00 μB per formula unit.

---

Run Q
## LiMg2HRh (GGA-PBE)

Data for crystalline LiMg2HRh at its relaxed geometry. Values from VASP.

Cell and atoms, written as Quantum ESPRESSO input:
```
&SYSTEM
  ibrav = 0, nat = 5, ntyp = 4
/
ATOMIC_SPECIES
H 1.01 H.upf
Mg 24.30 Mg.upf
Rh 102.91 Rh.upf
Li 6.94 Li.upf
CELL_PARAMETERS angstrom
-2.1123 1.5309 -3.6553
-3.6855 -2.2814 1.1743
-1.1284 2.7518 1.8046
ATOMIC_POSITIONS angstrom
H 0.0000 0.0000 0.0000
Mg -1.8427 -1.1407 0.5871
Mg -1.0561 0.7654 -1.8276
Rh -0.5642 1.3759 0.9023
Li -3.4631 1.0006 -0.3382
```

## Properties
As for the crystal system: tetragonal. Its space group is P4/mmm. For the total magnetic moment, the calculation gives 0.00 μB per formula unit.

---

Which of them is the most stable, and which is the least stable? run Q and run P, in that order.

---

Run P
## Li2MgTlH (GGA-PBE)

Data for crystalline Li2MgTlH at its relaxed geometry. Values from VASP.

Cell and atoms, written as Quantum ESPRESSO input:
```
&SYSTEM
  ibrav = 0, nat = 5, ntyp = 4
/
ATOMIC_SPECIES
H 1.01 H.upf
Tl 204.38 Tl.upf
Mg 24.30 Mg.upf
Li 6.94 Li.upf
CELL_PARAMETERS angstrom
4.3793 0.0000 0.0000
0.0000 4.3793 0.0000
0.0000 0.0000 4.0759
ATOMIC_POSITIONS angstrom
H 0.0000 0.0000 0.0000
Tl 2.1896 2.1896 2.0379
Mg 0.0000 0.0000 2.0379
Li 0.0000 2.1896 0.0000
Li 2.1896 0.0000 0.0000
```

## Properties
As for the crystal system: tetragonal. Its space group is P4/mmm. For the total magnetic moment, the calculation gives 0.00 μB per formula unit.

---

Run Q
## Li2MgTlH (GGA-PBE)

Data for crystalline Li2MgTlH at its relaxed geometry. Values from VASP.

Cell and atoms, written as Quantum ESPRESSO input:
```
&SYSTEM
  ibrav = 0, nat = 5, ntyp = 4
/
ATOMIC_SPECIES
H 1.01 H.upf
Tl 204.38 Tl.upf
Mg 24.30 Mg.upf
Li 6.94 Li.upf
CELL_PARAMETERS angstrom
4.2097 0.0000 0.0000
0.0000 4.2097 0.0000
0.0000 0.0000 4.9282
ATOMIC_POSITIONS angstrom
H 0.0000 0.0000 0.0000
Tl 0.0000 0.0000 2.4641
Mg 2.1049 2.1049 2.4641
Li 0.0000 2.1049 0.0000
Li 2.1049 0.0000 0.0000
```

## Properties
As for the crystal system: tetragonal. Its space group is P4/mmm. For the total magnetic moment, the calculation gives 0.00 μB per formula unit.

---

Which of them is the most stable, and which is the least stable? run P and run Q, in that order.

---

Run P
## Li2MgZnH (GGA-PBE)

Data for crystalline Li2MgZnH at its relaxed geometry. Values from VASP.

Cell and atoms, written as Quantum ESPRESSO input:
```
&SYSTEM
  ibrav = 0, nat = 5, ntyp = 4
/
ATOMIC_SPECIES
H 1.01 H.upf
Zn 65.41 Zn.upf
Mg 24.30 Mg.upf
Li 6.94 Li.upf
CELL_PARAMETERS angstrom
3.9938 0.0000 0.0000
0.0000 3.9938 0.0000
0.0000 0.0000 4.3050
ATOMIC_POSITIONS angstrom
H 0.0000 0.0000 0.0000
Zn 1.9969 1.9969 2.1525
Mg 0.0000 0.0000 2.1525
Li 0.0000 1.9969 0.0000
Li 1.9969 0.0000 0.0000
```

## Properties
As for the crystal system: tetragonal. Its space group is P4/mmm. For the total magnetic moment, the calculation gives 0.00 μB per formula unit.

---

Run Q
## Li2MgZnH (GGA-PBE)

Data for crystalline Li2MgZnH at its relaxed geometry. Values from VASP.

Cell and atoms, written as Quantum ESPRESSO input:
```
&SYSTEM
  ibrav = 0, nat = 5, ntyp = 4
/
ATOMIC_SPECIES
H 1.01 H.upf
Zn 65.41 Zn.upf
Mg 24.30 Mg.upf
Li 6.94 Li.upf
CELL_PARAMETERS angstrom
4.1371 0.0000 0.0000
0.0000 4.1371 0.0000
0.0000 0.0000 4.0802
ATOMIC_POSITIONS angstrom
H 0.0000 0.0000 0.0000
Zn 0.0000 0.0000 2.0401
Mg 2.0685 2.0685 2.0401
Li 0.0000 2.0685 0.0000
Li 2.0685 0.0000 0.0000
```

## Properties
As for the crystal system: tetragonal. Its space group is P4/mmm. For the total magnetic moment, the calculation gives 0.00 μB per formula unit.

---

Which of them is the most stable, and which is the least stable? run P and run Q, in that order.

---

Run P
## Li2MnH2 (GGA-PBE)

Data for crystalline Li2MnH2 at its relaxed geometry. Values from VASP.

Cell and atoms, written as Quantum ESPRESSO input:
```
&SYSTEM
  ibrav = 0, nat = 10, ntyp = 3
/
ATOMIC_SPECIES
H 1.01 H.upf
Mn 54.94 Mn.upf
Li 6.94 Li.upf
CELL_PARAMETERS angstrom
6.4503 0.0000 0.0000
0.0000 6.4503 0.0000
0.0000 0.0000 2.5157
ATOMIC_POSITIONS angstrom
H 0.9386 4.1638 1.2578
H 4.1638 5.5116 1.2578
H 5.5116 2.2865 1.2578
H 2.2865 0.9386 1.2578
Mn 0.0000 0.0000 0.0000
Mn 3.2251 3.2251 0.0000
Li 2.3968 5.6219 0.0000
Li 5.6219 4.0535 0.0000
Li 4.0535 0.8284 0.0000
Li 0.8284 2.3968 0.0000
```

## Properties
As for the crystal system: tetragonal. Its space group is P4/mbm. For the total magnetic moment, the calculation gives 4.09 μB per formula unit.

---

Run Q
## Li2MnH2 (GGA-PBE)

Data for crystalline Li2MnH2 at its relaxed geometry. Values from VASP.

Cell and atoms, written as Quantum ESPRESSO input:
```
&SYSTEM
  ibrav = 0, nat = 5, ntyp = 3
/
ATOMIC_SPECIES
H 1.01 H.upf
Mn 54.94 Mn.upf
Li 6.94 Li.upf
CELL_PARAMETERS angstrom
3.2170 0.0000 0.0000
0.0000 3.2170 0.0000
1.6085 1.6085 3.8171
ATOMIC_POSITIONS angstrom
H 3.2170 1.6085 1.9086
H 1.6085 3.2170 1.9086
Mn 0.0000 0.0000 0.0000
Li 1.6085 1.6085 1.2369
Li 3.2170 3.2170 2.5802
```

## Properties
As for the crystal system: tetragonal. Its space group is I4/mmm. For the total magnetic moment, the calculation gives 0.01 μB per formula unit.

---

Which of them is the most stable, and which is the least stable? run P and run Q, in that order.

---

Run P
## Li3MnH6 (GGA-PBE)

Data for crystalline Li3MnH6 at its relaxed geometry. Values from VASP.

Cell and atoms, written as Quantum ESPRESSO input:
```
&SYSTEM
  ibrav = 0, nat = 20, ntyp = 3
/
ATOMIC_SPECIES
Li 6.94 Li.upf
Mn 54.94 Mn.upf
H 1.01 H.upf
CELL_PARAMETERS angstrom
5.4583 0.1085 -0.1921
-0.2027 5.4556 -0.1921
0.1025 0.1085 5.4607
ATOMIC_POSITIONS angstrom
Li 2.3586 0.5583 3.9995
Li 0.3225 4.1459 2.1395
Li 4.0165 2.3866 0.2067
Li 5.0355 1.5267 2.9371
Li 1.3416 3.2860 4.8699
Li 2.9995 5.1143 1.0771
Mn 2.6790 2.8363 2.5383
Mn 0.0000 0.0000 0.0000
H 5.0668 3.9763 -0.0210
H 3.9555 0.4784 5.0605
H 0.1775 5.2851 3.6769
H 2.3847 3.0977 0.9466
H 3.0314 1.2486 2.3302
H 1.1046 2.5574 2.9014
H 0.2913 1.6963 5.0976
H 1.4025 5.1942 0.0160
H 5.1806 0.3875 1.3996
H 2.9733 2.5749 4.1300
H 2.3266 4.4240 2.7464
H 4.2534 3.1152 2.1752
```

## Properties
As for the crystal system: trigonal. Its space group is R-3c. For the total magnetic moment, the calculation gives 2.00 μB per formula unit.

---

Run Q
## Li3MnH6 (GGA-PBE)

Data for crystalline Li3MnH6 at its relaxed geometry. Values from VASP.

Cell and atoms, written as Quantum ESPRESSO input:
```
&SYSTEM
  ibrav = 0, nat = 10, ntyp = 3
/
ATOMIC_SPECIES
Li 6.94 Li.upf
Mn 54.94 Mn.upf
H 1.01 H.upf
CELL_PARAMETERS angstrom
4.8557 0.0598 0.0847
-2.3736 4.2364 -0.0847
-2.3736 -1.4938 3.9652
ATOMIC_POSITIONS angstrom
Li 0.0542 2.8338 0.9701
Li -2.3736 1.3713 1.9403
Li 0.0542 -0.0313 2.9951
Mn 0.0000 0.0000 0.0000
H 1.6767 2.9022 0.0000
H 1.6767 -0.9687 2.7358
H 0.8054 -0.4653 1.3141
H 0.8054 1.3940 0.0000
H -3.5959 2.0775 2.9394
H -1.1513 0.6651 0.9411
```

## Properties
As for the crystal system: tetragonal. Its space group is I4/mmm. For the total magnetic moment, the calculation gives 2.00 μB per formula unit.

---

Which of them is the most stable, and which is the least stable? run P and run Q, in that order.